A plane-wave DFT calculation with PBE-GGA was carried out for a geometry-optimized Nb4PdRh5 structure.

Calculated values
**Total magnetization**: 0.000 μB per atom
**Formation energy from the elements**: -0.218 eV/atom

Cell: 8.373 8.942 4.545 Å, 90.00 90.00 90.00°
Atoms (fractional coordinates):
Nb (0.044, 0.250, 0.074)
Nb (0.250, 0.545, 0.235)
Nb (0.250, 0.955, 0.235)
Nb (0.456, 0.250, 0.074)
Nb (0.544, 0.750, 0.926)
Nb (0.750, 0.045, 0.765)
Nb (0.750, 0.455, 0.765)
Nb (0.956, 0.750, 0.926)
Pd (0.250, 0.750, 0.688)
Pd (0.750, 0.250, 0.312)
Rh (0.085, 0.027, 0.745)
Rh (0.085, 0.473, 0.745)
Rh (0.250, 0.250, 0.472)
Rh (0.415, 0.027, 0.745)
Rh (0.415, 0.473, 0.745)
Rh (0.585, 0.527, 0.255)
Rh (0.585, 0.973, 0.255)
Rh (0.750, 0.750, 0.528)
Rh (0.915, 0.527, 0.255)
Rh (0.915, 0.973, 0.255)

---

A plane-wave DFT calculation with PBE-GGA was carried out for a geometry-optimized Sr3HoIn12 structure.

Calculated values
**Total magnetization**: 0.000 μB per atom
**Formation energy from the elements**: -0.319 eV/atom

Cell: 4.822 4.822 19.055 Å, 90.00 90.00 90.00°
Atoms (fractional coordinates):
Sr (0.000, 0.000, 0.000)
Sr (0.000, 0.000, 0.256)
Sr (0.000, 0.000, 0.744)
Ho (0.000, 0.000, 0.500)
In (0.000, 0.500, 0.128)
In (0.000, 0.500, 0.383)
In (0.000, 0.500, 0.617)
In (0.000, 0.500, 0.872)
In (0.500, 0.000, 0.128)
In (0.500, 0.000, 0.383)
In (0.500, 0.000, 0.617)
In (0.500, 0.000, 0.872)
In (0.500, 0.500, 0.000)
In (0.500, 0.500, 0.253)
In (0.500, 0.500, 0.500)
In (0.500, 0.500, 0.747)